A plane-wave DFT calculation with PBE was carried out for a relaxed structure of SiTeBr.

Cell lengths 3.8395, 3.8395, 7.0022 Å; angles 90.00, 90.00, 120.00 degrees
Element x y z (fractional)
Br1 0.0000 0.0000 0.0956
Te1 0.3333 0.6667 0.5586
Si1 0.6667 0.3333 0.3458

- DOS(E_F) (states/eV per cell) = 1.63
- total magnetization (μB per formula unit) = 0.00
- space-group type = P3m1
- energy relative to the elements, uncorrected (meV per atom) = -94.8